(1)
Ag2SnGeSe4, relaxed, DFT PBE; uncorrected formation energy = -0.245 eV per atom; calculated volume = 27.71 Å³ per atom; total magnetic moment = 0.000 μB per atom
1.0
9.630 0.000 0.000
0.000 6.947 0.000
0.000 0.000 6.628
Ag Sn Ge Se
4 2 2 8
Direct
0.249 0.195 0.000
0.251 0.805 0.500
0.749 0.805 0.500
0.751 0.195 0.000
0.000 0.713 0.966
0.500 0.287 0.466
0.000 0.333 0.499
0.500 0.667 0.999
0.000 0.327 0.869
0.000 0.666 0.388
0.214 0.184 0.400
0.286 0.816 0.900
0.500 0.334 0.888
0.500 0.673 0.369
0.714 0.816 0.900
0.786 0.184 0.400


(2)
SrAgGeSe3, relaxed, DFT PBE; uncorrected formation energy = -0.695 eV per atom; calculated volume = 25.30 Å³ per atom; total magnetic moment = 0.000 μB per atom
1.0
8.254 0.000 0.000
0.000 4.056 0.000
-2.387 0.000 9.068
Sr Ag Ge Se
2 2 2 6
Direct
0.210 0.250 0.256
0.790 0.750 0.744
0.085 0.250 0.596
0.915 0.750 0.404
0.323 0.750 0.873
0.677 0.250 0.127
0.100 0.250 0.890
0.264 0.750 0.526
0.449 0.750 0.152
0.551 0.250 0.848
0.736 0.250 0.474
0.900 0.750 0.110


(3)
SrAgGe2Se4, relaxed, DFT PBE; uncorrected formation energy = -0.529 eV per atom; calculated volume = 24.90 Å³ per atom; total magnetic moment = 0.000 μB per atom
1.0
2.076 -6.619 0.000
2.076 6.619 0.000
0.000 0.000 14.495
Sr Ag Ge Se
2 2 4 8
Direct
0.127 0.873 0.750
0.873 0.127 0.250
0.153 0.847 0.250
0.847 0.153 0.750
0.372 0.628 0.555
0.372 0.628 0.945
0.628 0.372 0.055
0.628 0.372 0.445
0.000 0.000 0.000
0.000 0.000 0.500
0.273 0.727 0.105
0.273 0.727 0.395
0.459 0.541 0.750
0.541 0.459 0.250
0.727 0.273 0.605
0.727 0.273 0.895